# PaTcOs (GGA-PBE, optimized geometry)
# Relative energy among the computed polymorphs, meV/atom: 185
# Mass density, g/cm3: 15.946
# Formation energy from the elements, eV/atom: -0.075
data_PaTcOs
_cell_length_a 4.156
_cell_length_b 4.172
_cell_length_c 6.572
_cell_angle_alpha 90.00
_cell_angle_beta 108.37
_cell_angle_gamma 90.00
_space_group_name_H-M_alt 'P 1 21/m 1'
_space_group_IT_number 11
loop_
_space_group_symop_operation_xyz
'x,y,z'
'-x,-y,-z'
'-x,y+1/2,-z'
'x,-y+1/2,z'
loop_
_atom_site_label
_atom_site_fract_x
_atom_site_fract_y
_atom_site_fract_z
Pa1 0.231 0.250 0.464
Tc1 0.440 0.750 0.879
Os1 0.066 0.750 0.132

---

# Al2CrI (GGA-PBE, optimized geometry)
# Relative energy among the computed polymorphs, meV/atom: 0
# Mass density, g/cm3: 4.167
# Formation energy from raw total energies, eV per formula unit: 2.4
data_Al2CrI
_cell_length_a 8.099
_cell_length_b 8.099
_cell_length_c 5.659
_cell_angle_alpha 90.00
_cell_angle_beta 90.00
_cell_angle_gamma 90.00
_space_group_name_H-M_alt 'I -4 2 d'
_space_group_IT_number 122
_space_group_name_Hall 'I -4 2bw'
loop_
_atom_site_label
_atom_site_fract_x
_atom_site_fract_y
_atom_site_fract_z
Al1 0.215 0.250 0.125
Cr1 0.000 0.000 0.000
I1 0.000 0.000 0.500

---

# NbIn2H (GGA-PBE, optimized geometry)
# Relative energy among the computed polymorphs, meV/atom: 475
# Mass density, g/cm3: 6.948
data_NbIn2H
_cell_length_a 6.763
_cell_length_b 6.763
_cell_length_c 6.763
_cell_angle_alpha 90.00
_cell_angle_beta 90.00
_cell_angle_gamma 90.00
_space_group_name_H-M_alt 'F m -3 m'
_space_group_IT_number 225
_space_group_name_Hall '-F 4 2 3'
loop_
_atom_site_label
_atom_site_fract_x
_atom_site_fract_y
_atom_site_fract_z
Nb1 0.000 0.000 0.000
In1 0.250 0.250 0.250
H1 0.000 0.000 0.500

---

# Tb2PrNd3Dy6 (GGA-PBE, optimized geometry)
# Mass density, g/cm3: 7.885
# Formation energy from the elements, eV/atom: 0.014
data_Tb2PrNd3Dy6
_cell_length_a 6.235
_cell_length_b 10.794
_cell_length_c 11.863
_cell_angle_alpha 90.00
_cell_angle_beta 100.05
_cell_angle_gamma 90.00
_space_group_name_H-M_alt 'C 1 2/m 1'
_space_group_IT_number 12
loop_
_space_group_symop_operation_xyz
'x,y,z'
'-x,-y,-z'
'-x,y,-z'
'x,-y,z'
'x+1/2,y+1/2,z'
'-x+1/2,-y+1/2,-z'
'-x+1/2,y+1/2,-z'
'x+1/2,-y+1/2,z'
loop_
_atom_site_label
_atom_site_fract_x
_atom_site_fract_y
_atom_site_fract_z
Tb1 0.000 0.167 0.000
Pr1 0.000 0.500 0.000
Nd1 0.000 0.000 0.500
Nd2 0.000 0.333 0.500
Dy1 0.249 0.000 0.248
Dy2 0.250 0.167 0.752

---

# Li2SnBiH (GGA-PBE, optimized geometry)
# Relative energy among the computed polymorphs, meV/atom: 60
# Mass density, g/cm3: 5.883
data_Li2SnBiH
_cell_length_a 4.584
_cell_length_b 4.584
_cell_length_c 4.601
_cell_angle_alpha 90.00
_cell_angle_beta 90.00
_cell_angle_gamma 90.00
_space_group_name_H-M_alt 'P 4/m m m'
_space_group_IT_number 123
_space_group_name_Hall '-P 4 2'
loop_
_atom_site_label
_atom_site_fract_x
_atom_site_fract_y
_atom_site_fract_z
Li1 0.000 0.500 0.000
Sn1 0.000 0.000 0.500
Bi1 0.500 0.500 0.500
H1 0.500 0.500 0.000

---

# RbYAg2 (GGA-PBE, optimized geometry)
# Mass density, g/cm3: 4.771
# Formation energy from the elements, eV/atom: 0.366
data_RbYAg2
_cell_length_a 8.471
_cell_length_b 8.471
_cell_length_c 7.568
_cell_angle_alpha 90.00
_cell_angle_beta 90.00
_cell_angle_gamma 90.00
_space_group_name_H-M_alt 'I -4 2 d'
_space_group_IT_number 122
_space_group_name_Hall 'I -4 2bw'
loop_
_atom_site_label
_atom_site_fract_x
_atom_site_fract_y
_atom_site_fract_z
Rb1 0.000 0.000 0.000
Y1 0.000 0.000 0.500
Ag1 0.211 0.750 0.625

---

# Sm2CdNi2 (GGA-PBE, optimized geometry)
# Mass density, g/cm3: 8.157
# Formation energy from the elements, eV/atom: -0.407
data_Sm2CdNi2
_cell_length_a 3.936
_cell_length_b 14.406
_cell_length_c 3.810
_cell_angle_alpha 90.00
_cell_angle_beta 90.00
_cell_angle_gamma 90.00
_space_group_name_H-M_alt 'C m m m'
_space_group_IT_number 65
_space_group_name_Hall '-C 2 2'
loop_
_atom_site_label
_atom_site_fract_x
_atom_site_fract_y
_atom_site_fract_z
Sm1 0.000 0.137 0.000
Cd1 0.000 0.500 0.500
Ni1 0.000 0.299 0.500

---

# LiScAl2 (GGA-PBE, optimized geometry)
# Mass density, g/cm3: 2.399
# Formation energy from the elements, eV/atom: -0.093
data_LiScAl2
_cell_length_a 2.958
_cell_length_b 4.104
_cell_length_c 6.037
_cell_angle_alpha 90.00
_cell_angle_beta 90.00
_cell_angle_gamma 90.00
_space_group_name_H-M_alt 'P m m 2'
_space_group_IT_number 25
loop_
_space_group_symop_operation_xyz
'x,y,z'
'-x,-y,z'
'-x,y,z'
'x,-y,z'
loop_
_atom_site_label
_atom_site_fract_x
_atom_site_fract_y
_atom_site_fract_z
Li1 0.000 0.000 0.000
Sc1 0.500 0.500 0.284
Al1 0.000 0.000 0.536
Al2 0.500 0.500 0.777

---

# YSc4Sb5 (GGA-PBE, optimized geometry)
# Mass density, g/cm3: 5.517
# Formation energy from raw total energies, eV per formula unit: -9.7
data_YSc4Sb5
_cell_length_a 4.207
_cell_length_b 5.970
_cell_length_c 21.034
_cell_angle_alpha 90.00
_cell_angle_beta 90.00
_cell_angle_gamma 90.00
_space_group_name_H-M_alt 'I m m m'
_space_group_IT_number 71
_space_group_name_Hall '-I 2 2'
loop_
_atom_site_label
_atom_site_fract_x
_atom_site_fract_y
_atom_site_fract_z
Y1 0.000 0.000 0.000
Sc1 0.000 0.000 0.203
Sc2 0.000 0.000 0.400
Sb1 0.000 0.500 0.000
Sb2 0.000 0.500 0.199
Sb3 0.000 0.500 0.394

---

# FeCoIr2 (GGA-PBE, optimized geometry)
# Mass density, g/cm3: 15.296
# Formation energy from the elements, eV/atom: 0.223
data_FeCoIr2
_cell_length_a 2.738
_cell_length_b 4.558
_cell_length_c 8.684
_cell_angle_alpha 90.00
_cell_angle_beta 90.00
_cell_angle_gamma 90.00
_space_group_name_H-M_alt 'C m m 2'
_space_group_IT_number 35
loop_
_space_group_symop_operation_xyz
'x,y,z'
'-x,-y,z'
'-x,y,z'
'x,-y,z'
'x+1/2,y+1/2,z'
'-x+1/2,-y+1/2,z'
'-x+1/2,y+1/2,z'
'x+1/2,-y+1/2,z'
loop_
_atom_site_label
_atom_site_fract_x
_atom_site_fract_y
_atom_site_fract_z
Fe1 0.000 0.000 0.000
Co1 0.000 0.500 0.775
Ir1 0.000 0.000 0.524
Ir2 0.000 0.500 0.249

---

# ScTc2Pb (GGA-PBE, optimized geometry)
# Relative energy among the computed polymorphs, meV/atom: 128
# Mass density, g/cm3: 10.350
# Formation energy from the elements, eV/atom: 0.112
data_ScTc2Pb
_cell_length_a 3.351
_cell_length_b 4.529
_cell_length_c 9.473
_cell_angle_alpha 90.00
_cell_angle_beta 90.00
_cell_angle_gamma 90.00
_space_group_name_H-M_alt 'I m m 2'
_space_group_IT_number 44
loop_
_space_group_symop_operation_xyz
'x,y,z'
'-x,-y,z'
'-x,y,z'
'x,-y,z'
'x+1/2,y+1/2,z+1/2'
'-x+1/2,-y+1/2,z+1/2'
'-x+1/2,y+1/2,z+1/2'
'x+1/2,-y+1/2,z+1/2'
loop_
_atom_site_label
_atom_site_fract_x
_atom_site_fract_y
_atom_site_fract_z
Sc1 0.000 0.000 0.000
Tc1 0.000 0.000 0.475
Tc2 0.000 0.500 0.754
Pb1 0.000 0.500 0.227

---

# PrCdInBi (GGA-PBE, optimized geometry)
# Mass density, g/cm3: 8.624
# Formation energy from the elements, eV/atom: -0.451
data_PrCdInBi
_cell_length_a 4.650
_cell_length_b 4.803
_cell_length_c 4.976
_cell_angle_alpha 90.00
_cell_angle_beta 90.00
_cell_angle_gamma 90.00
_space_group_name_H-M_alt 'P m m m'
_space_group_IT_number 47
loop_
_space_group_symop_operation_xyz
'x,y,z'
'-x,-y,-z'
'-x,-y,z'
'x,y,-z'
'x,-y,-z'
'-x,y,z'
'-x,y,-z'
'x,-y,z'
loop_
_atom_site_label
_atom_site_fract_x
_atom_site_fract_y
_atom_site_fract_z
Pr1 0.000 0.000 0.000
Cd1 0.000 0.500 0.500
In1 0.500 0.000 0.500
Bi1 0.500 0.500 0.000